Entry 1:
Density functional theory data (GGA-PBE) for an optimized crystal structure of BaHo3Tc.

Structure (POSCAR):
```
BaHo3Tc
1.0
5.523 0.000 0.000
0.000 5.523 0.000
0.000 0.000 5.523
Ba Ho Tc
1 3 1
direct
0.000 0.000 0.000
0.000 0.500 0.500
0.500 0.000 0.500
0.500 0.500 0.000
0.500 0.500 0.500
```

Crystal system: cubic
Formation energy (eV per atom): 0.073

Entry 2:
Density functional theory data (GGA-PBE) for an optimized crystal structure of BaHoTe2.

Structure (POSCAR):
```
BaHoTe2
1.0
2.280 1.316 7.822
-2.280 1.316 7.822
0.000 -2.633 7.822
Ba Ho Te
1 1 2
direct
0.000 0.000 0.000
0.500 0.500 0.500
0.238 0.238 0.238
0.762 0.762 0.762
```

Crystal system: trigonal
E_form (uncorrected) (eV per atom): -1.50

Entry 3:
Density functional theory data (GGA-PBE) for an optimized crystal structure of Ba2Ho3Te6.

Structure (POSCAR):
```
Ba2Ho3Te6
1.0
3.863 -6.693 0.000
3.863 6.693 0.000
-2.587 0.000 8.015
Ba Ho Te
2 3 6
direct
0.166 0.834 0.000
0.834 0.166 0.000
0.000 0.000 0.500
0.332 0.668 0.500
0.668 0.332 0.500
0.077 0.406 0.716
0.266 0.266 0.285
0.406 0.077 0.716
0.594 0.923 0.284
0.734 0.734 0.715
0.923 0.594 0.284
```

Crystal system: monoclinic
E_form (uncorrected) (eV per atom): -1.52

Entry 4:
Density functional theory data (GGA-PBE) for an optimized crystal structure of BaHo4Te6.

Structure (POSCAR):
```
BaHo4Te6
1.0
2.216 -7.180 0.000
2.216 7.180 0.000
0.000 0.000 22.741
Ba Ho Te
2 8 12
direct
0.158 0.842 0.750
0.842 0.158 0.250
0.094 0.906 0.124
0.094 0.906 0.376
0.360 0.640 0.036
0.360 0.640 0.464
0.640 0.360 0.536
0.640 0.360 0.964
0.906 0.094 0.624
0.906 0.094 0.876
0.000 0.000 0.000
0.000 0.000 0.500
0.159 0.841 0.250
0.266 0.734 0.588
0.266 0.734 0.912
0.457 0.543 0.156
0.457 0.543 0.344
0.543 0.457 0.656
0.543 0.457 0.844
0.734 0.266 0.088
0.734 0.266 0.412
0.841 0.159 0.750
```

Crystal system: orthorhombic
E_form (uncorrected) (eV per atom): -1.42

Entry 5:
Density functional theory data (GGA-PBE) for an optimized crystal structure of BaHoTe4.

Structure (POSCAR):
```
BaHoTe4
1.0
6.988 0.000 0.000
0.000 6.988 0.000
0.000 0.000 8.404
Ba Ho Te
2 2 8
direct
0.250 0.250 0.000
0.750 0.750 0.000
0.250 0.250 0.500
0.750 0.750 0.500
0.098 0.598 0.287
0.098 0.902 0.713
0.402 0.598 0.713
0.402 0.902 0.287
0.598 0.098 0.713
0.598 0.402 0.287
0.902 0.098 0.287
0.902 0.402 0.713
```

Crystal system: tetragonal
E_form (uncorrected) (eV per atom): -1.09

Entry 6:
Density functional theory data (GGA-PBE) for an optimized crystal structure of BaHoTe2.

Structure (POSCAR):
```
BaHoTe2
1.0
2.241 1.294 8.146
-2.241 1.294 8.146
0.000 -2.588 8.146
Ba Ho Te
1 1 2
direct
0.000 0.000 0.000
0.828 0.828 0.828
0.234 0.234 0.234
0.426 0.426 0.426
```

Crystal system: trigonal
E_form (uncorrected) (eV per atom): -1.47